#w
A plane-wave DFT calculation with PBE was carried out for a relaxed structure of Ho2ZnF8.

```
Ho2ZnF8
1.0
7.9643 -1.6873 0.0000
7.9643 1.6873 0.0000
-0.1836 0.0000 5.7821
Ho Zn F
2 1 8
direct
0.1548 0.1548 0.3429 Ho
0.8452 0.8452 0.6571 Ho
0.5000 0.5000 0.0000 Zn
0.0167 0.0167 0.2175 F
0.2434 0.2434 0.6701 F
0.3717 0.3717 0.9310 F
0.3924 0.3924 0.4652 F
0.6076 0.6076 0.5348 F
0.6283 0.6283 0.0690 F
0.7566 0.7566 0.3299 F
0.9833 0.9833 0.7825 F
```

Output
The density of states at the Fermi level comes out at 0.00 states/eV/f.u.

---

#x
A plane-wave DFT calculation with PBE was carried out for a relaxed structure of Ho2ZnF8.

```
Ho2ZnF8
1.0
4.7313 -3.5357 0.0000
4.7313 3.5357 0.0000
-1.4177 0.0000 4.4574
Ho Zn F
2 1 8
direct
0.1757 0.1757 0.3926 Ho
0.8243 0.8243 0.6074 Ho
0.5000 0.5000 0.0000 Zn
0.0761 0.0761 0.7884 F
0.1562 0.5444 0.7285 F
0.3633 0.3633 0.2373 F
0.4556 0.8438 0.2715 F
0.5444 0.1562 0.7285 F
0.6367 0.6367 0.7627 F
0.8438 0.4556 0.2715 F
0.9239 0.9239 0.2116 F
```

Output
The density of states at the Fermi level comes out at 0.00 states/eV/f.u.

---

Energy relative to the most stable one, in meV/atom: #w 69; #x 0

---

#w
A plane-wave DFT calculation with PBE was carried out for a relaxed structure of IF.

```
IF
1.0
0.0000 2.8808 2.8808
2.8808 0.0000 2.8808
2.8808 2.8808 0.0000
I F
1 1
direct
0.0000 0.0000 0.0000 I
0.5000 0.5000 0.5000 F
```

Output
The density of states at the Fermi level comes out at 1.20 states/eV/f.u.

---

#x
A plane-wave DFT calculation with PBE was carried out for a relaxed structure of IF.

```
IF
1.0
0.0000 3.1218 3.1218
3.1218 0.0000 3.1218
3.1218 3.1218 0.0000
I F
1 1
direct
0.0000 0.0000 0.0000 I
0.2500 0.2500 0.2500 F
```

Output
The density of states at the Fermi level comes out at 0.37 states/eV/f.u.

---

#y
A plane-wave DFT calculation with PBE was carried out for a relaxed structure of IF.

```
IF
1.0
0.0000 5.1218 7.1125
3.8890 0.0000 7.1125
3.8890 5.1218 0.0000
I F
4 4
direct
0.1245 0.1245 0.6255 I
0.3745 0.3745 0.8755 I
0.6255 0.6255 0.1245 I
0.8755 0.8755 0.3745 I
0.2182 0.5318 0.2182 F
0.4682 0.7818 0.4682 F
0.5318 0.2182 0.5318 F
0.7818 0.4682 0.7818 F
```

---

Energy relative to the most stable one, in meV/atom: #w 688; #x 699; #y 0

---

#w
A plane-wave DFT calculation with PBE was carried out for a relaxed structure of IF.

```
IF
1.0
7.4643 0.0000 0.0000
0.0000 7.4643 0.0000
0.0000 0.0000 7.4643
I F
6 6
direct
0.0000 0.2500 0.5000 I
0.0000 0.7500 0.5000 I
0.2500 0.5000 0.0000 I
0.5000 0.0000 0.2500 I
0.5000 0.0000 0.7500 I
0.7500 0.5000 0.0000 I
0.0000 0.5000 0.2500 F
0.0000 0.5000 0.7500 F
0.2500 0.0000 0.5000 F
0.5000 0.2500 0.0000 F
0.5000 0.7500 0.0000 F
0.7500 0.0000 0.5000 F
```

Output
The density of states at the Fermi level comes out at 3.40 states/eV/f.u.

---

#x
A plane-wave DFT calculation with PBE was carried out for a relaxed structure of IF.

```
IF
1.0
-5.3396 5.3396 2.3165
5.3396 -5.3396 2.3165
5.3396 5.3396 -2.3165
I F
4 4
direct
0.0023 0.8028 0.8051 I
0.1972 0.0023 0.1995 I
0.8028 0.9977 0.8005 I
0.9977 0.1972 0.1949 I
0.1348 0.3278 0.4626 F
0.3278 0.8652 0.1930 F
0.6722 0.1348 0.8070 F
0.8652 0.6722 0.5374 F
```

---

Energy relative to the most stable one, in meV/atom: #w 825; #x 0

---

#w
A plane-wave DFT calculation with PBE was carried out for a relaxed structure of IF.

```
IF
1.0
4.2464 0.0000 0.0000
-2.1232 3.6775 0.0000
0.0000 0.0000 8.7932
I F
2 2
direct
0.3333 0.6667 0.2500 I
0.6667 0.3333 0.7500 I
0.3333 0.6667 0.7500 F
0.6667 0.3333 0.2500 F
```

Output
The density of states at the Fermi level comes out at 0.65 states/eV/f.u.

---

#x
A plane-wave DFT calculation with PBE was carried out for a relaxed structure of IF.

```
IF
1.0
3.1289 0.0000 0.0000
-0.4255 4.5348 0.0000
-1.3428 -2.2271 4.0200
I F
1 1
direct
0.0000 0.0000 0.0000 I
0.0000 0.5000 0.0000 F
```

Output
The density of states at the Fermi level comes out at 0.43 states/eV/f.u.

---

Energy relative to the most stable one, in meV/atom: #w 436; #x 0

---

#w
A plane-wave DFT calculation with PBE was carried out for a relaxed structure of IF.

```
IF
1.0
8.8657 0.0000 0.0000
0.0000 5.3862 0.0000
0.0000 0.0000 7.9505
I F
6 6
direct
0.0000 0.1954 0.0000 I
0.1859 0.6255 0.5190 I
0.3141 0.3745 0.0190 I
0.5000 0.8046 0.5000 I
0.6859 0.3745 0.0190 I
0.8141 0.6255 0.5190 I
0.0000 0.9204 0.4936 F
0.2045 0.6935 0.0476 F
0.2955 0.3065 0.5476 F
0.5000 0.0796 0.9936 F
0.7045 0.3065 0.5476 F
0.7955 0.6935 0.0476 F
```

---

#x
A plane-wave DFT calculation with PBE was carried out for a relaxed structure of IF.

```
IF
1.0
10.8985 0.0000 0.0000
-5.4492 9.4384 0.0000
0.0000 0.0000 4.5824
I F
6 6
direct
0.2010 0.4930 0.2500 I
0.2919 0.7990 0.2500 I
0.4930 0.2919 0.7500 I
0.5070 0.7081 0.2500 I
0.7081 0.2010 0.7500 I
0.7990 0.5070 0.7500 I
0.0127 0.6284 0.7500 F
0.3716 0.3843 0.7500 F
0.3843 0.0127 0.2500 F
0.6157 0.9873 0.7500 F
0.6284 0.6157 0.2500 F
0.9873 0.3716 0.2500 F
```

Output
The density of states at the Fermi level comes out at 0.00 states/eV/f.u.

---

#y
A plane-wave DFT calculation with PBE was carried out for a relaxed structure of IF.

```
IF
1.0
7.8631 0.0000 0.0000
0.0000 8.0626 0.0000
0.0000 0.0000 8.1410
I F
8 8
direct
0.1185 0.0348 0.3850 I
0.2424 0.5031 0.1493 I
0.2576 0.4969 0.6493 I
0.3815 0.9652 0.8850 I
0.6185 0.4652 0.6150 I
0.7424 0.9969 0.8507 I
0.7576 0.0031 0.3507 I
0.8815 0.5348 0.1150 I
0.1234 0.9369 0.9092 F
0.2309 0.6008 0.4023 F
0.2691 0.3992 0.9023 F
0.3766 0.0631 0.4092 F
0.6234 0.5631 0.0908 F
0.7309 0.8992 0.5977 F
0.7691 0.1008 0.0977 F
0.8766 0.4369 0.5908 F
```

Output
The density of states at the Fermi level comes out at 0.34 states/eV/f.u.

---

Energy relative to the most stable one, in meV/atom: #w 44; #x 0; #y 50

---

#w
A plane-wave DFT calculation with PBE was carried out for a relaxed structure of IF.

```
IF
1.0
10.5733 0.0000 0.0000
0.0000 10.5733 0.0000
0.0000 0.0000 4.8576
I F
8 8
direct
0.0398 0.8022 0.0000 I
0.1978 0.0398 0.0000 I
0.3143 0.3572 0.5000 I
0.3572 0.6857 0.5000 I
0.6428 0.3143 0.5000 I
0.6857 0.6428 0.5000 I
0.8022 0.9602 0.0000 I
0.9602 0.1978 0.0000 I
0.0675 0.3536 0.0000 F
0.2090 0.5586 0.5000 F
0.3536 0.9325 0.0000 F
0.4414 0.2090 0.5000 F
0.5586 0.7910 0.5000 F
0.6464 0.0675 0.0000 F
0.7910 0.4414 0.5000 F
0.9325 0.6464 0.0000 F
```

---

#x
A plane-wave DFT calculation with PBE was carried out for a relaxed structure of IF.

```
IF
1.0
-4.0717 4.0717 4.0717
4.0717 -4.0717 4.0717
4.0717 4.0717 -4.0717
I F
4 4
direct
0.0000 0.0000 0.4568 I
0.0000 0.4568 0.0000 I
0.4568 0.0000 0.0000 I
0.5432 0.5432 0.5432 I
0.0000 0.0000 0.7367 F
0.0000 0.7367 0.0000 F
0.2633 0.2633 0.2633 F
0.7367 0.0000 0.0000 F
```

Output
The density of states at the Fermi level comes out at 0.15 states/eV/f.u.

---

Energy relative to the most stable one, in meV/atom: #w 0; #x 121

---

#w
A plane-wave DFT calculation with PBE was carried out for a relaxed structure of I3F.

```
I3F
1.0
-2.0481 4.0515 4.2977
2.0481 -4.0515 4.2977
2.0481 4.0515 -4.2977
I F
3 1
direct
0.0000 0.0000 0.0000 I
0.2753 0.5000 0.7753 I
0.7247 0.5000 0.2247 I
0.5000 0.0000 0.5000 F
```

---

#x
A plane-wave DFT calculation with PBE was carried out for a relaxed structure of I3F.

```
I3F
1.0
0.0000 3.8355 3.8355
3.8355 0.0000 3.8355
3.8355 3.8355 0.0000
I F
3 1
direct
0.0000 0.0000 0.0000 I
0.2500 0.2500 0.2500 I
0.7500 0.7500 0.7500 I
0.5000 0.5000 0.5000 F
```

Output
The density of states at the Fermi level comes out at 2.40 states/eV/f.u.

---

Energy relative to the most stable one, in meV/atom: #w 0; #x 435

---

#w
A plane-wave DFT calculation with PBE was carried out for a relaxed structure of In2IF.

```
In2IF
1.0
3.8094 0.0000 0.0000
0.0000 3.8094 0.0000
0.0000 0.0000 7.6744
In I F
2 1 1
direct
0.0000 0.0000 0.2045 In
0.0000 0.0000 0.7955 In
0.5000 0.5000 0.5000 I
0.5000 0.5000 0.0000 F
```

Output
The density of states at the Fermi level comes out at 0.02 states/eV/f.u.

---

#x
A plane-wave DFT calculation with PBE was carried out for a relaxed structure of In2IF.

```
In2IF
1.0
9.9039 0.0000 0.0000
0.0000 4.6184 0.0000
-0.9934 0.0000 11.1782
In I F
8 4 4
direct
0.0331 0.2044 0.1452 In
0.0331 0.2956 0.6452 In
0.3557 0.2240 0.9376 In
0.3557 0.2760 0.4376 In
0.6443 0.7240 0.5624 In
0.6443 0.7760 0.0624 In
0.9669 0.7044 0.3548 In
0.9669 0.7956 0.8548 In
0.3100 0.7320 0.7210 I
0.3100 0.7680 0.2210 I
0.6900 0.2320 0.7790 I
0.6900 0.2680 0.2790 I
0.1150 0.1717 0.9529 F
0.1150 0.3283 0.4529 F
0.8850 0.6717 0.5471 F
0.8850 0.8283 0.0471 F
```

Output
The density of states at the Fermi level comes out at 0.00 states/eV/f.u.

---

#y
A plane-wave DFT calculation with PBE was carried out for a relaxed structure of In2IF.

```
In2IF
1.0
0.0000 3.9190 3.9190
3.9190 0.0000 3.9190
3.9190 3.9190 0.0000
In I F
2 1 1
direct
0.2500 0.2500 0.2500 In
0.7500 0.7500 0.7500 In
0.0000 0.0000 0.0000 I
0.5000 0.5000 0.5000 F
```

Output
The density of states at the Fermi level comes out at 0.00 states/eV/f.u.

---

#z
A plane-wave DFT calculation with PBE was carried out for a relaxed structure of In2IF.

```
In2IF
1.0
3.7616 -2.1774 0.0000
3.7616 2.1774 0.0000
-2.5135 0.0000 7.4671
In I F
2 1 1
direct
0.0000 0.0000 0.0000 In
0.2127 0.2127 0.6359 In
0.7647 0.7647 0.2941 I
0.5877 0.5877 0.7622 F
```

Output
The density of states at the Fermi level comes out at 0.04 states/eV/f.u.

---

Energy relative to the most stable one, in meV/atom: #w 194; #x 0; #y 290; #z 96

---

#w
A plane-wave DFT calculation with PBE was carried out for a relaxed structure of In2IF.

```
In2IF
1.0
2.2488 1.2983 6.8023
-2.2488 1.2983 6.8023
0.0000 -2.5966 6.8023
In I F
2 1 1
direct
0.2231 0.2231 0.2231 In
0.7769 0.7769 0.7769 In
0.0000 0.0000 0.0000 I
0.5000 0.5000 0.5000 F
```

Output
The density of states at the Fermi level comes out at 0.08 states/eV/f.u.

---

#x
A plane-wave DFT calculation with PBE was carried out for a relaxed structure of In2IF.

```
In2IF
1.0
-3.1072 3.1072 7.6613
3.1072 -3.1072 7.6613
3.1072 3.1072 -7.6613
In I F
4 2 2
direct
0.3750 0.2487 0.3737 In
0.7513 0.1250 0.1263 In
0.8750 0.0013 0.6263 In
0.9987 0.6250 0.8737 In
0.2500 0.7500 0.5000 I
0.5000 0.5000 0.0000 I
0.0000 0.0000 0.0000 F
0.7500 0.2500 0.5000 F
```

Output
The density of states at the Fermi level comes out at 0.00 states/eV/f.u.

---

Energy relative to the most stable one, in meV/atom: #w 0; #x 11